# AlOs, optimized geometry, DFT PBE-GGA
# D(E_F) in states/eV/atom: 0.9805
# ΔE_f in eV per atom: -0.168
# Mass density in g/cm³: 12.6
# Crystal system: trigonal
data_AlOs
_symmetry_space_group_name_H-M 'R -3 m'
_symmetry_Int_Tables_number 166
_symmetry_space_group_name_Hall '-R 3 2"'
_cell_length_a 2.8382
_cell_length_b 2.8382
_cell_length_c 12.3093
_cell_angle_alpha 90.00
_cell_angle_beta 90.00
_cell_angle_gamma 120.00
loop_
_atom_site_label
_atom_site_fract_x
_atom_site_fract_y
_atom_site_fract_z
Al1 0.0000 0.0000 0.0000
Os1 0.0000 0.0000 0.5000

---

# CeZn2Cu9, optimized geometry, DFT PBE-GGA
# D(E_F) in states/eV/atom: 0.9102
# ΔE_f in eV per atom: -0.086
# Mass density in g/cm³: 8.2
# Crystal system: tetragonal
data_CeZn2Cu9
_symmetry_space_group_name_H-M 'I 41/a m d'
_symmetry_Int_Tables_number 141
_cell_length_a 10.131
_cell_length_b 10.131
_cell_length_c 6.651
_cell_angle_alpha 90.00
_cell_angle_beta 90.00
_cell_angle_gamma 90.00
loop_
_symmetry_equiv_pos_as_xyz
'x,y,z'
'-x,-y,-z'
'-y+1/4,x+3/4,z+1/4'
'y+1/4,-x+3/4,-z+1/4'
'-x+1/2,-y,z+1/2'
'x+1/2,y,-z+1/2'
'y+1/4,-x+1/4,z+3/4'
'-y+1/4,x+1/4,-z+3/4'
'x,-y,-z'
'-x,y,z'
'-y+1/4,-x+1/4,-z+3/4'
'y+1/4,x+1/4,z+3/4'
'-x+1/2,y,-z+1/2'
'x+1/2,-y,z+1/2'
'y+1/4,x+3/4,-z+1/4'
'-y+1/4,-x+3/4,z+1/4'
'x+1/2,y+1/2,z+1/2'
'-x+1/2,-y+1/2,-z+1/2'
'-y+3/4,x+1/4,z+3/4'
'y+3/4,-x+1/4,-z+3/4'
'-x,-y+1/2,z'
'x,y+1/2,-z'
'y+3/4,-x+3/4,z+1/4'
'-y+3/4,x+3/4,-z+1/4'
'x+1/2,-y+1/2,-z+1/2'
'-x+1/2,y+1/2,z+1/2'
'-y+3/4,-x+3/4,-z+1/4'
'y+3/4,x+3/4,z+1/4'
'-x,y+1/2,-z'
'x,-y+1/2,z'
'y+3/4,x+1/4,-z+3/4'
'-y+3/4,-x+1/4,z+3/4'
loop_
_atom_site_label
_atom_site_fract_x
_atom_site_fract_y
_atom_site_fract_z
Ce1 0.000 0.250 0.375
Zn1 0.000 0.000 0.000
Cu1 0.000 0.250 0.875
Cu2 0.123 0.042 0.681

---

# AlAg3H, optimized geometry, DFT PBE-GGA
# D(E_F) in states/eV/atom: 0.4352
# Mass density in g/cm³: 4.8
# E_tot in eV/cell: -10.85
# Crystal system: cubic
data_AlAg3H
_symmetry_space_group_name_H-M 'P m -3 m'
_symmetry_Int_Tables_number 221
_symmetry_space_group_name_Hall '-P 4 2 3'
_cell_length_a 4.972
_cell_length_b 4.972
_cell_length_c 4.972
_cell_angle_alpha 90.00
_cell_angle_beta 90.00
_cell_angle_gamma 90.00
loop_
_atom_site_label
_atom_site_fract_x
_atom_site_fract_y
_atom_site_fract_z
Al1 0.000 0.000 0.000
Ag1 0.000 0.000 0.500
H1 0.500 0.500 0.500

---

Question: Which formula does entry 1 have?
Answer: AlOs